Entry 1:
Compound: HfPaTi2N4
Source: the Alexandria database
Functional: PBE
Structure: optimized geometry

Lattice parameters (Å, degrees): 5.4549 3.1984 5.6467 90.00 109.50 90.00
Last column: nearest neighbours and their distance in Å.
Element x y z (fractional)
Hf1 0.0000 0.0000 0.0000  6 N 2.26-2.27
Pa1 0.0000 0.5000 0.5000  6 N 2.35-2.37
Ti1 0.5000 0.0000 0.5000  6 N 2.26-2.28
Ti2 0.5000 0.5000 0.0000  6 N 2.16-2.18
N1 0.2603 0.5000 0.2418  3 Ti 2.18-2.26, 2 Hf 2.27, 1 Pa 2.35
N2 0.2718 0.0000 0.7730  3 Ti 2.16-2.28, 1 Hf 2.26, 2 Pa 2.37
N3 0.7282 0.0000 0.2270  3 Ti 2.16-2.28, 1 Hf 2.26, 2 Pa 2.37
N4 0.7397 0.5000 0.7582  3 Ti 2.18-2.26, 2 Hf 2.27, 1 Pa 2.35

Output
magnetization	0.00	μB per formula unit
energy relative to the elements, uncorrected	-1.61	eV/atom
calculated density	10.036	g/cm3

***

Entry 2:
Compound: HfPa2TiN5
Source: the Alexandria database
Functional: PBE
Structure: optimized geometry

Lattice parameters (Å, degrees): 6.8670 6.8670 10.2469 90.00 90.00 152.00
Last column: nearest neighbours and their distance in Å.
Element x y z (fractional)
Hf1 0.2119 0.7881 0.5000  6 N 2.15-2.29
Hf2 0.7881 0.2119 0.0000  6 N 2.15-2.29
Pa1 0.1076 0.8924 0.1809  6 N 2.31-2.52
Pa2 0.1424 0.8576 0.7887  6 N 2.40-2.64
Pa3 0.8576 0.1424 0.2887  6 N 2.40-2.64
Pa4 0.8924 0.1076 0.6809  6 N 2.31-2.52
Ti1 0.4754 0.5246 0.9612  4 N 1.98-2.05
Ti2 0.5246 0.4754 0.4612  4 N 1.98-2.05
N1 0.0521 0.9479 0.5593  2 Ti 1.98
N2 0.2798 0.7202 0.1533  2 Hf 2.29, 3 Pa 2.31-2.40
N3 0.3207 0.6793 0.8630  2 Hf 2.22, 1 Ti 2.29
N4 0.3731 0.6269 0.4982  1 Ti 2.05, 1 Hf 2.15
N5 0.4872 0.5128 0.2722  1 Ti 2.00
N6 0.5128 0.4872 0.7722  1 Ti 2.00
N7 0.6269 0.3731 0.9982  1 Ti 2.05, 1 Hf 2.15
N8 0.6793 0.3207 0.3630  2 Hf 2.22, 1 Ti 2.29
N9 0.7202 0.2798 0.6533  2 Hf 2.29, 3 Pa 2.31-2.40
N10 0.9479 0.0521 0.0593  2 Ti 1.98

Output
magnetization	0.00	μB per formula unit
energy relative to the elements, uncorrected	-1.58	eV/atom
calculated density	11.104	g/cm3

***

Entry 3:
Compound: TmHf2PaN4
Source: the Alexandria database
Functional: PBE
Structure: optimized geometry

Lattice parameters (Å, degrees): 5.7556 3.3020 5.7898 90.00 109.10 90.00
Last column: nearest neighbours and their distance in Å.
Element x y z (fractional)
Tm1 0.0000 0.0000 0.0000  6 N 2.41
Hf1 0.0000 0.5000 0.5000  6 N 2.28-2.30
Hf2 0.5000 0.0000 0.5000  6 N 2.29-2.30
Pa1 0.5000 0.5000 0.0000  6 N 2.40-2.43
N1 0.2396 0.0000 0.7284  3 Hf 2.28-2.30, 1 Tm 2.41, 2 Pa 2.43
N2 0.2568 0.5000 0.2676  3 Hf 2.29-2.30, 1 Pa 2.40, 2 Tm 2.41
N3 0.7432 0.5000 0.7324  3 Hf 2.29-2.30, 1 Pa 2.40, 2 Tm 2.41
N4 0.7604 0.0000 0.2716  3 Hf 2.28-2.30, 1 Tm 2.41, 2 Pa 2.43

Output
magnetization	0.00	μB per formula unit
energy relative to the elements, uncorrected	-1.75	eV/atom
calculated density	12.983	g/cm3

***

Entry 4:
Compound: Tm3HfPa2N6
Source: the Alexandria database
Functional: PBE
Structure: optimized geometry

Lattice parameters (Å, degrees): 5.8964 5.8964 5.8965 99.50 99.50 120.03
Last column: nearest neighbours and their distance in Å.
Element x y z (fractional)
Tm1 0.0000 0.0000 0.0000  6 N 2.43-2.45
Tm2 0.3356 0.6644 0.0000  6 N 2.39-2.49
Tm3 0.6644 0.3356 0.0000  6 N 2.39-2.49
Hf1 0.5000 0.5000 0.5000  6 N 2.35-2.36
Pa1 0.1663 0.8337 0.5000  6 N 2.39-2.41
Pa2 0.8337 0.1663 0.5000  6 N 2.39-2.41
N1 0.0925 0.4204 0.2601  1 Hf 2.35, 2 Pa 2.39, 3 Tm 2.42-2.49
N2 0.2554 0.2554 0.7453  1 Hf 2.36, 3 Tm 2.39-2.45, 2 Pa 2.41
N3 0.4204 0.0925 0.2601  1 Hf 2.35, 2 Pa 2.39, 3 Tm 2.42-2.49
N4 0.5796 0.9075 0.7399  1 Hf 2.35, 2 Pa 2.39, 3 Tm 2.42-2.49
N5 0.7446 0.7446 0.2547  1 Hf 2.36, 3 Tm 2.39-2.45, 2 Pa 2.41
N6 0.9075 0.5796 0.7399  1 Hf 2.35, 2 Pa 2.39, 3 Tm 2.42-2.49

Output
magnetization	0.00	μB per formula unit
energy relative to the elements, uncorrected	-1.72	eV/atom
calculated density	12.207	g/cm3